1.
# TbAgAu4 | Alexandria | GGA-PBE | optimized geometry
data_TbAgAu4
_chemical_formula_sum 'Tb2 Ag2 Au8'
_symmetry_space_group_name_H-M 'P 1'
_symmetry_Int_Tables_number 1
_cell_length_a 4.705
_cell_length_b 6.191
_cell_length_c 8.918
_cell_angle_alpha 69.23
_cell_angle_beta 90.01
_cell_angle_gamma 90.01
loop_
_symmetry_equiv_pos_as_xyz
'x,y,z'
loop_
_atom_site_label
_atom_site_fract_x
_atom_site_fract_y
_atom_site_fract_z
Tb1 0.750 0.618 0.262
Tb2 0.250 0.382 0.738
Ag1 0.750 0.132 0.234
Ag2 0.250 0.868 0.766
Au1 0.250 0.810 0.413
Au2 0.250 0.963 0.085
Au3 0.750 0.722 0.586
Au4 0.750 0.551 0.915
Au5 0.750 0.190 0.587
Au6 0.250 0.278 0.414
Au7 0.750 0.037 0.915
Au8 0.250 0.449 0.085
# E_form	-0.41	eV/atom
# magnetic moment	0.00	μB/f.u.
# DFT total energy	-3.841	eV/atom
# energy above the most stable polymorph in this dataset	0	meV per atom



2.
# TbAgAu4 | Alexandria | GGA-PBE | optimized geometry
data_TbAgAu4
_chemical_formula_sum 'Tb1 Ag1 Au4'
_symmetry_space_group_name_H-M 'P 1'
_symmetry_Int_Tables_number 1
_cell_length_a 5.543
_cell_length_b 5.543
_cell_length_c 5.543
_cell_angle_alpha 60.00
_cell_angle_beta 60.00
_cell_angle_gamma 60.00
loop_
_symmetry_equiv_pos_as_xyz
'x,y,z'
loop_
_atom_site_label
_atom_site_fract_x
_atom_site_fract_y
_atom_site_fract_z
Tb1 0.250 0.250 0.250
Au1 0.625 0.625 0.124
Au2 0.625 0.124 0.625
Au3 0.625 0.625 0.625
Au4 0.124 0.625 0.625
Ag1 0.000 0.000 0.000
# E_form	-0.39	eV/atom
# magnetic moment	0.00	μB/f.u.
# DFT total energy	-3.825	eV/atom
# energy above the most stable polymorph in this dataset	15	meV per atom



3.
# Tb11Ag9Au4 | Alexandria | GGA-PBE | optimized geometry
data_Tb11Ag9Au4
_chemical_formula_sum 'Tb11 Ag9 Au4'
_symmetry_space_group_name_H-M 'P 1'
_symmetry_Int_Tables_number 1
_cell_length_a 3.666
_cell_length_b 13.052
_cell_length_c 13.052
_cell_angle_alpha 112.91
_cell_angle_beta 90.00
_cell_angle_gamma 90.00
loop_
_symmetry_equiv_pos_as_xyz
'x,y,z'
loop_
_atom_site_label
_atom_site_fract_x
_atom_site_fract_y
_atom_site_fract_z
Tb1 0.000 0.588 0.929
Tb2 0.000 0.412 0.071
Tb3 0.000 0.929 0.588
Tb4 0.000 0.071 0.412
Tb5 0.000 0.644 0.356
Tb6 0.000 0.356 0.644
Tb7 0.000 0.832 0.168
Tb8 0.000 0.168 0.832
Tb9 0.000 0.000 0.000
Tb10 0.000 0.724 0.724
Tb11 0.000 0.276 0.276
Ag1 0.500 0.631 0.148
Ag2 0.500 0.369 0.852
Ag3 0.500 0.148 0.631
Ag4 0.500 0.852 0.369
Ag5 0.500 0.793 0.947
Ag6 0.500 0.207 0.053
Ag7 0.500 0.947 0.793
Ag8 0.500 0.053 0.207
Ag9 0.500 0.500 0.500
Au1 0.500 0.551 0.744
Au2 0.500 0.449 0.256
Au3 0.500 0.744 0.551
Au4 0.500 0.256 0.449
# E_form	-0.47	eV/atom
# magnetic moment	0.00	μB/f.u.
# DFT total energy	-4.206	eV/atom



4.
# TbAg2Au2 | Alexandria | GGA-PBE | optimized geometry
data_TbAg2Au2
_chemical_formula_sum 'Tb2 Ag4 Au4'
_symmetry_space_group_name_H-M 'P 1'
_symmetry_Int_Tables_number 1
_cell_length_a 5.240
_cell_length_b 7.968
_cell_length_c 8.118
_cell_angle_alpha 137.95
_cell_angle_beta 108.83
_cell_angle_gamma 90.00
loop_
_symmetry_equiv_pos_as_xyz
'x,y,z'
loop_
_atom_site_label
_atom_site_fract_x
_atom_site_fract_y
_atom_site_fract_z
Tb1 0.172 0.750 0.000
Tb2 0.828 0.250 0.000
Ag1 0.222 0.233 0.779
Ag2 0.442 0.267 0.221
Ag3 0.778 0.767 0.221
Ag4 0.558 0.733 0.779
Au1 0.004 0.232 0.379
Au2 0.375 0.732 0.379
Au3 0.996 0.768 0.621
Au4 0.625 0.268 0.621
# E_form	-0.40	eV/atom
# magnetic moment	0.00	μB/f.u.
# DFT total energy	-3.782	eV/atom
# energy above the most stable polymorph in this dataset	0	meV per atom